The following is a GGA-PBE calculation of a geometry-optimized ZnCuBIr structure, from OQMD.

POSCAR file:
```
ZnCuBIr
1.0
0.0000 2.9121 2.9121
2.9121 0.0000 2.9121
2.9121 2.9121 0.0000
Zn Cu B Ir
1 1 1 1
Cartesian
0.0000 0.0000 0.0000 Zn
2.9121 2.9121 2.9121 Cu
1.4561 1.4561 1.4561 B
4.3682 4.3682 4.3682 Ir
```

## Properties
- symmetry = No. 216
- offset from the most stable computed form (meV per atom) = 406

=====

The following is a GGA-PBE calculation of a geometry-optimized ZnCuBIr structure, from OQMD.

POSCAR file:
```
ZnCuBIr
1.0
0.0000 2.8598 2.8598
2.8598 0.0000 2.8598
2.8598 2.8598 0.0000
Zn Cu B Ir
1 1 1 1
Cartesian
0.0000 0.0000 0.0000 Zn
4.2898 4.2898 4.2898 Cu
2.8598 2.8598 2.8598 B
1.4299 1.4299 1.4299 Ir
```

## Properties
- symmetry = No. 216
- offset from the most stable computed form (meV per atom) = 0

=====

The following is a GGA-PBE calculation of a geometry-optimized ZrCuBIr structure, from OQMD.

POSCAR file:
```
ZrCuBIr
1.0
0.0000 3.0612 3.0612
3.0612 0.0000 3.0612
3.0612 3.0612 0.0000
Zr Cu B Ir
1 1 1 1
Cartesian
0.0000 0.0000 0.0000 Zr
3.0612 3.0612 3.0612 Cu
1.5306 1.5306 1.5306 B
4.5918 4.5918 4.5918 Ir
```

## Properties
- symmetry = No. 216
- offset from the most stable computed form (meV per atom) = 29

=====

The following is a GGA-PBE calculation of a geometry-optimized ZrCuBIr structure, from OQMD.

POSCAR file:
```
ZrCuBIr
1.0
0.0000 3.0411 3.0411
3.0411 0.0000 3.0411
3.0411 3.0411 0.0000
Zr Cu B Ir
1 1 1 1
Cartesian
0.0000 0.0000 0.0000 Zr
4.5617 4.5617 4.5617 Cu
3.0411 3.0411 3.0411 B
1.5206 1.5206 1.5206 Ir
```

## Properties
- symmetry = No. 216
- offset from the most stable computed form (meV per atom) = 0

=====

The following is a GGA-PBE calculation of a geometry-optimized KCuB4 structure, from OQMD.

POSCAR file:
```
KCuB4
1.0
3.0625 0.0000 0.0000
-1.5313 2.6522 0.0000
0.0000 0.0000 8.0723
K Cu B
1 1 4
Cartesian
0.0000 0.0000 0.0000 K
0.0000 0.0000 4.0362 Cu
0.0000 1.7681 2.4830 B
0.0000 1.7681 5.5893 B
1.5313 0.8841 2.4830 B
1.5313 0.8841 5.5893 B
```

## Properties
- symmetry = No. 191
- offset from the most stable computed form (meV per atom) = 0

=====

The following is a GGA-PBE calculation of a geometry-optimized KCuB structure, from OQMD.

POSCAR file:
```
KCuB
1.0
0.0000 3.1640 3.1640
3.1640 0.0000 3.1640
3.1640 3.1640 0.0000
K Cu B
1 1 1
Cartesian
0.0000 0.0000 0.0000 K
3.1640 3.1640 3.1640 Cu
4.7461 4.7461 4.7461 B
```

## Properties
- symmetry = No. 216
- offset from the most stable computed form (meV per atom) = 0

=====

The following is a GGA-PBE calculation of a geometry-optimized KCuB4 structure, from OQMD.

POSCAR file:
```
KCuB4
1.0
-1.2528 2.8923 4.5552
1.2528 -2.8923 4.5552
1.2528 2.8923 -4.5552
K Cu B
1 1 4
Cartesian
0.0000 0.0000 0.0000 K
0.0000 0.0000 4.5552 Cu
1.2528 -0.8427 2.4577 B
1.2528 0.8427 2.4577 B
0.0000 2.0496 2.0975 B
0.0000 3.7351 2.0975 B
```

## Properties
- symmetry = No. 71
- offset from the most stable computed form (meV per atom) = 172

=====

The following is a GGA-PBE calculation of a geometry-optimized KCuB structure, from OQMD.

POSCAR file:
```
KCuB
1.0
0.0000 3.1760 3.1760
3.1760 0.0000 3.1760
3.1760 3.1760 0.0000
K Cu B
1 1 1
Cartesian
0.0000 0.0000 0.0000 K
4.7640 4.7640 4.7640 Cu
3.1760 3.1760 3.1760 B
```

## Properties
- symmetry = No. 216
- offset from the most stable computed form (meV per atom) = 77